YAs2BrF: relaxed, PBE.

Properties
ΔE_f (raw) ... -123 meV per atom
Offset from the most stable computed form ... 2.76 eV/f.u.
Magnetization ... 1.7 Bohr magnetons per cell
Symmetry ... No. 123

Structure (POSCAR):
```
YAs2BrF
1.0
5.619 0.000 0.000
0.000 5.619 0.000
0.000 0.000 5.434
As Y Br F
2 1 1 1
Cartesian
2.809 0.000 0.000
0.000 2.809 0.000
0.000 0.000 0.000
0.000 0.000 2.717
2.809 2.809 2.717
```